No. 1
ReMo2Br: relaxed, PBE.

Summary:
For the total magnetic moment, the calculation gives 0.002 μB per cell. As for the formation energy (no corrections): 666 meV per atom. The volume comes out at 17.0 Å³/atom. The calculation puts the energy above the most stable polymorph in this dataset at 0.261 eV/atom. The symmetry is Cmmm (65).

a b c (Å): 2.868 2.868 8.995
angles (deg): 90.00 90.00 113.53
Atoms (fractional coordinates):
1 Re 0.500 0.500 0.250
2 Mo 0.000 0.000 0.016
3 Mo 0.000 0.000 0.484
4 Br 0.500 0.500 0.750



No. 2
ReMoBr2: relaxed, PBE.

Summary:
For the total magnetic moment, the calculation gives 0.000 μB per cell. As for the formation energy (no corrections): 1589 meV per atom. The volume comes out at 22.4 Å³/atom. The calculation puts the energy above the most stable polymorph in this dataset at 1.454 eV/atom. The symmetry is I-42d (122).

a b c (Å): 5.634 5.634 6.910
angles (deg): 65.94 65.94 90.00
Atoms (fractional coordinates):
1 Re 0.000 0.000 0.000
2 Re 0.750 0.250 0.500
3 Mo 0.500 0.500 0.000
4 Mo 0.250 0.750 0.500
5 Br 0.630 0.125 0.250
6 Br 0.120 0.625 0.250
7 Br 0.375 0.370 0.750
8 Br 0.875 0.880 0.750



No. 3
Re2MoBr: relaxed, PBE.

Summary:
For the total magnetic moment, the calculation gives 0.000 μB per cell. As for the formation energy (no corrections): 1320 meV per atom. The volume comes out at 16.0 Å³/atom. The calculation puts the energy above the most stable polymorph in this dataset at 0.723 eV/atom. The symmetry is I-4m2 (119).

a b c (Å): 5.089 5.089 5.089
angles (deg): 135.34 135.34 65.01
Atoms (fractional coordinates):
1 Re 0.000 0.000 0.000
2 Re 0.250 0.750 0.500
3 Mo 0.750 0.250 0.500
4 Br 0.500 0.500 0.000